(1)
Entry from Alexandria: a relaxed LaEr4Tm4 crystal (GGA-PBE).

Cell: 4.985 7.892 7.892 Å, 84.27 71.59 71.59°
Atoms (fractional coordinates):
La1 0.000 0.000 0.000
Er1 0.669 0.662 0.000
Er2 0.331 0.338 0.000
Er3 0.669 0.000 0.662
Er4 0.331 0.000 0.338
Tm1 0.664 0.336 0.336
Tm2 0.336 0.664 0.664
Tm3 0.000 0.664 0.336
Tm4 0.000 0.336 0.664

Fermi-level density of states (states/eV per cell): 13.31
Space group: I4/mmm, No. 139
Total magnetic moment (μB/cell): 0.0
DFT total energy (eV for the cell shown): -40.78
Excess energy over the best structure of this formula in the dataset (meV/atom): 0
Energy of formation from the pure elements (eV per atom): 0.032

=====

(2)
Entry from Alexandria: a relaxed La2ErTm9 crystal (GGA-PBE).

Cell: 4.999 4.999 15.029 Å, 90.00 90.00 90.00°
Atoms (fractional coordinates):
La1 0.000 0.000 0.334
La2 0.000 0.000 0.666
Er1 0.000 0.000 0.000
Tm1 0.500 0.500 0.000
Tm2 0.500 0.500 0.331
Tm3 0.500 0.500 0.669
Tm4 0.500 0.000 0.162
Tm5 0.500 0.000 0.500
Tm6 0.500 0.000 0.838
Tm7 0.000 0.500 0.162
Tm8 0.000 0.500 0.500
Tm9 0.000 0.500 0.838

Fermi-level density of states (states/eV per cell): 18.01
Space group: P4/mmm, No. 123
Total magnetic moment (μB/cell): 0.0
DFT total energy (eV for the cell shown): -54.21
Energy of formation from the pure elements (eV per atom): 0.038